# PBE-GGA NaAl2Br2, optimized geometry
data_NaAl2Br2
_chemical_formula_sum 'Na2 Al4 Br4'
_symmetry_space_group_name_H-M 'I 4/m m m'
_symmetry_Int_Tables_number 139
_symmetry_space_group_name_Hall '-I 4 2'
_cell_length_a 5.854
_cell_length_b 5.854
_cell_length_c 8.832
_cell_angle_alpha 90.00
_cell_angle_beta 90.00
_cell_angle_gamma 90.00
loop_
_atom_site_label
_atom_site_fract_x
_atom_site_fract_y
_atom_site_fract_z
_atom_site_occupancy
Na1 0.000 0.000 0.000 1
Al1 0.000 0.000 0.342 1
Br1 0.000 0.500 0.250 1
# E_tot, eV for the cell shown: -26.02
# Spin magnetization, μB per cell: 0.00
# Polymorph energy (0 for the lowest one), meV per atom: 0
# Raw formation energy, meV/atom: -173
# V, Å³/atom: 30.262

# PBE-GGA NaAlBr4, optimized geometry
data_NaAlBr4
_chemical_formula_sum 'Na2 Al2 Br8'
_symmetry_space_group_name_H-M 'P -1'
_symmetry_Int_Tables_number 2
_cell_length_a 6.186
_cell_length_b 6.193
_cell_length_c 13.317
_cell_angle_alpha 103.34
_cell_angle_beta 103.33
_cell_angle_gamma 90.12
loop_
_symmetry_equiv_pos_as_xyz
'x,y,z'
'-x,-y,-z'
loop_
_atom_site_label
_atom_site_fract_x
_atom_site_fract_y
_atom_site_fract_z
_atom_site_occupancy
Na1 0.125 0.375 0.248 1
Al1 0.375 0.125 0.751 1
Br1 0.114 0.850 0.638 1
Br2 0.213 0.385 0.864 1
Br3 0.350 0.022 0.136 1
Br4 0.478 0.713 0.362 1
# E_tot, eV for the cell shown: -38.84
# Spin magnetization, μB per cell: 0.00
# Polymorph energy (0 for the lowest one), meV per atom: 21
# Raw formation energy, meV/atom: -1278
# V, Å³/atom: 40.183

# PBE-GGA Na3AlBr6, optimized geometry
data_Na3AlBr6
_chemical_formula_sum 'Na6 Al2 Br12'
_symmetry_space_group_name_H-M 'P 1 21/c 1'
_symmetry_Int_Tables_number 14
_cell_length_a 7.083
_cell_length_b 7.512
_cell_length_c 12.630
_cell_angle_alpha 90.00
_cell_angle_beta 124.00
_cell_angle_gamma 90.00
loop_
_symmetry_equiv_pos_as_xyz
'x,y,z'
'-x,-y,-z'
'-x,y+1/2,-z+1/2'
'x,-y+1/2,z+1/2'
loop_
_atom_site_label
_atom_site_fract_x
_atom_site_fract_y
_atom_site_fract_z
_atom_site_occupancy
Na1 0.000 0.000 0.000 1
Na2 0.280 0.089 0.746 1
Al1 0.500 0.000 0.500 1
Br1 0.143 0.045 0.276 1
Br2 0.275 0.674 0.064 1
Br3 0.409 0.213 0.071 1
# E_tot, eV for the cell shown: -62.12
# Spin magnetization, μB per cell: 0.00
# Polymorph energy (0 for the lowest one), meV per atom: 23
# Raw formation energy, meV/atom: -1332
# V, Å³/atom: 27.858